1.
Entry from OQMD via LeMat-Bulk: a relaxed LiGdPt4 crystal (PBE).

Unit cell a=5.357 b=5.357 c=5.357 alpha=60.00 beta=60.00 gamma=60.00
Element x y z (fractional)
1 Li 0.000 0.000 0.000
2 Gd 0.250 0.250 0.250
3 Pt 0.124 0.625 0.625
4 Pt 0.625 0.124 0.625
5 Pt 0.625 0.625 0.124
6 Pt 0.625 0.625 0.625

Results
Total magnetization (μB per formula unit): 0.0
Excess energy over the best structure of this formula in the dataset (meV/atom): 0

=====

2.
Entry from OQMD via LeMat-Bulk: a relaxed Dy3TeP2 crystal (PBE).

Unit cell a=4.083 b=4.083 c=10.285 alpha=90.00 beta=90.00 gamma=120.00
Element x y z (fractional)
1 Dy 0.000 0.000 0.000
2 Dy 0.333 0.667 0.702
3 Dy 0.667 0.333 0.298
4 Te 0.000 0.000 0.500
5 P 0.333 0.667 0.157
6 P 0.667 0.333 0.843

Results
Total magnetization (μB per formula unit): 0.0
E (eV/cell): -37.348

=====

3.
Entry from OQMD via LeMat-Bulk: a relaxed ThHgGe crystal (PBE).

Unit cell a=4.864 b=4.864 c=4.864 alpha=60.00 beta=60.00 gamma=60.00
Element x y z (fractional)
1 Th 0.000 0.000 0.000
2 Hg 0.500 0.500 0.500
3 Ge 0.750 0.750 0.750

Results
Total magnetization (μB per formula unit): 0.0
E (eV/cell): -12.773

=====

4.
Entry from OQMD via LeMat-Bulk: a relaxed Hf9CoMo4 crystal (PBE).

Unit cell a=8.667 b=8.667 c=8.421 alpha=90.00 beta=90.00 gamma=120.00
Element x y z (fractional)
1 Hf 0.085 0.542 0.250
2 Hf 0.202 0.403 0.558
3 Hf 0.202 0.403 0.942
4 Hf 0.202 0.798 0.558
5 Hf 0.202 0.798 0.942
6 Hf 0.403 0.202 0.058
7 Hf 0.403 0.202 0.442
8 Hf 0.458 0.542 0.250
9 Hf 0.458 0.915 0.250
10 Hf 0.542 0.085 0.750
11 Hf 0.542 0.458 0.750
12 Hf 0.597 0.798 0.558
13 Hf 0.597 0.798 0.942
14 Hf 0.798 0.202 0.058
15 Hf 0.798 0.202 0.442
16 Hf 0.798 0.597 0.058
17 Hf 0.798 0.597 0.442
18 Hf 0.915 0.458 0.750
19 Co 0.333 0.667 0.750
20 Co 0.667 0.333 0.250
21 Mo 0.000 0.000 0.000
22 Mo 0.000 0.000 0.500
23 Mo 0.112 0.224 0.250
24 Mo 0.112 0.888 0.250
25 Mo 0.224 0.112 0.750
26 Mo 0.776 0.888 0.250
27 Mo 0.888 0.112 0.750
28 Mo 0.888 0.776 0.750

Results
Energy of formation from the pure elements (eV per formula unit): -2.52
Total magnetization (μB per formula unit): 0.0

=====

Look up the total magnetization of the third one. 0.0 μB per formula unit

=====

total magnetization of number 3 (ThHgGe)? 0.0 μB per formula unit

=====

Which formula does entry 3 have? ThHgGe

=====

Copy entry 4 word for word.
Entry from OQMD via LeMat-Bulk: a relaxed Hf9CoMo4 crystal (PBE).

Unit cell a=8.667 b=8.667 c=8.421 alpha=90.00 beta=90.00 gamma=120.00
Element x y z (fractional)
1 Hf 0.085 0.542 0.250
2 Hf 0.202 0.403 0.558
3 Hf 0.202 0.403 0.942
4 Hf 0.202 0.798 0.558
5 Hf 0.202 0.798 0.942
6 Hf 0.403 0.202 0.058
7 Hf 0.403 0.202 0.442
8 Hf 0.458 0.542 0.250
9 Hf 0.458 0.915 0.250
10 Hf 0.542 0.085 0.750
11 Hf 0.542 0.458 0.750
12 Hf 0.597 0.798 0.558
13 Hf 0.597 0.798 0.942
14 Hf 0.798 0.202 0.058
15 Hf 0.798 0.202 0.442
16 Hf 0.798 0.597 0.058
17 Hf 0.798 0.597 0.442
18 Hf 0.915 0.458 0.750
19 Co 0.333 0.667 0.750
20 Co 0.667 0.333 0.250
21 Mo 0.000 0.000 0.000
22 Mo 0.000 0.000 0.500
23 Mo 0.112 0.224 0.250
24 Mo 0.112 0.888 0.250
25 Mo 0.224 0.112 0.750
26 Mo 0.776 0.888 0.250
27 Mo 0.888 0.112 0.750
28 Mo 0.888 0.776 0.750

Results
Energy of formation from the pure elements (eV per formula unit): -2.52
Total magnetization (μB per formula unit): 0.0